VASP calculation (PBE with a Hubbard U) on crystalline KVHgO4 at its relaxed geometry.

Output
For the total energy, the calculation gives -5.53 eV/atom. As for the space group: P2_1/m (11). The value obtained for the total magnetization is 0.00 μB/cell.

a b c (Å): 5.9834 6.2739 7.0521
angles (deg): 90.00 108.08 90.00
With the nearest neighbours (Å) after each atom.
Atoms (fractional coordinates):
K1 0.2785 0.2500 0.0414  4 O 2.65-2.92
K2 0.7215 0.7500 0.9586  4 O 2.65-2.92
O1 0.9176 0.4743 0.7159  1 V 1.79
O2 0.4963 0.7500 0.2383  1 V 1.78
O3 0.3923 0.7500 0.6059  1 V 1.68
O4 0.0824 0.5257 0.2841  1 V 1.79
O5 0.0824 0.9743 0.2841  1 V 1.79
O6 0.5037 0.2500 0.7617  1 V 1.78
O7 0.6077 0.2500 0.3941  1 V 1.68
O8 0.9176 0.0257 0.7159  1 V 1.79
Hg1 0.1641 0.2500 0.5085  3 O 2.25-2.29
Hg2 0.8359 0.7500 0.4915  3 O 2.25-2.29
V1 0.2747 0.7500 0.3571  4 O 1.68-1.79
V2 0.7253 0.2500 0.6429  4 O 1.68-1.79